{
  "formula": "Ho4SbSe2",
  "functional": "PBE-GGA",
  "state": "optimized geometry",
  "lattice_angstrom": [[3.9066, -5.8532, 0.0000], [3.9066, 5.8532, 0.0000], [0.0000, 0.0000, 4.1482]],
  "species": ["Ho", "Ho", "Ho", "Ho", "Sb", "Se", "Se"],
  "frac_coords": [[0.0000, 0.5000, 0.5000], [0.2297, 0.2297, 0.0000], [0.5000, 0.0000, 0.5000], [0.7703, 0.7703, 0.0000], [0.5000, 0.5000, 0.5000], [0.1870, 0.8130, 0.0000], [0.8130, 0.1870, 0.0000]],
  "m_tot_mub_per_fu": 0.0,
  "vol_a3_per_atom": 27.1,
  "final_energy_ev_per_cell": -36.8,
  "dos_at_fermi_per_ev_cell": 4.751
}